No. 1
The following is a GGA-PBEsol calculation of crystalline Hf6FeSb2 at its relaxed geometry, from Alexandria.

Structure (CIF):
```
data_Hf6FeSb2
_symmetry_space_group_name_H-M 'P -6 2 m'
_symmetry_Int_Tables_number 189
_symmetry_space_group_name_Hall 'P -6 -2'
_cell_length_a 7.6620
_cell_length_b 7.6620
_cell_length_c 3.5243
_cell_angle_alpha 90.00
_cell_angle_beta 90.00
_cell_angle_gamma 120.00
loop_
_atom_site_label
_atom_site_type_symbol
_atom_site_fract_x
_atom_site_fract_y
_atom_site_fract_z
Hf1 Hf 0.0000 0.3935 0.0000
Hf2 Hf 0.0000 0.7604 0.5000
Fe1 Fe 0.0000 0.0000 0.0000
Sb1 Sb 0.3333 0.6667 0.5000
```

Results
Raw formation energy: -0.490 eV per atom



No. 2
The following is a GGA-PBEsol calculation of crystalline NbBiH3 at its relaxed geometry, from Alexandria.

Structure (CIF):
```
data_NbBiH3
_symmetry_space_group_name_H-M 'P m -3 m'
_symmetry_Int_Tables_number 221
_symmetry_space_group_name_Hall '-P 4 2 3'
_cell_length_a 4.020
_cell_length_b 4.020
_cell_length_c 4.020
_cell_angle_alpha 90.00
_cell_angle_beta 90.00
_cell_angle_gamma 90.00
loop_
_atom_site_label
_atom_site_type_symbol
_atom_site_fract_x
_atom_site_fract_y
_atom_site_fract_z
Nb1 Nb 0.000 0.000 0.000
Bi1 Bi 0.500 0.500 0.500
H1 H 0.000 0.500 0.500
```

Results
Raw total energy: -18.57 eV for the cell shown



No. 3
The following is a GGA-PBEsol calculation of crystalline YZrPb2 at its relaxed geometry, from Alexandria.

Structure (CIF):
```
data_YZrPb2
_symmetry_space_group_name_H-M 'I -4 m 2'
_symmetry_Int_Tables_number 119
_symmetry_space_group_name_Hall 'I -4 -2'
_cell_length_a 4.371
_cell_length_b 4.371
_cell_length_c 10.431
_cell_angle_alpha 90.00
_cell_angle_beta 90.00
_cell_angle_gamma 90.00
loop_
_atom_site_label
_atom_site_type_symbol
_atom_site_fract_x
_atom_site_fract_y
_atom_site_fract_z
Y1 Y 0.000 0.000 0.000
Zr1 Zr 0.000 0.500 0.750
Pb1 Pb 0.000 0.000 0.500
Pb2 Pb 0.000 0.500 0.250
```

Results
Calculated formation energy: -0.36 eV per atom



No. 4
The following is a GGA-PBEsol calculation of crystalline NbZnAs3 at its relaxed geometry, from Alexandria.

Structure (CIF):
```
data_NbZnAs3
_symmetry_space_group_name_H-M 'P m -3 m'
_symmetry_Int_Tables_number 221
_symmetry_space_group_name_Hall '-P 4 2 3'
_cell_length_a 4.942
_cell_length_b 4.942
_cell_length_c 4.942
_cell_angle_alpha 90.00
_cell_angle_beta 90.00
_cell_angle_gamma 90.00
loop_
_atom_site_label
_atom_site_type_symbol
_atom_site_fract_x
_atom_site_fract_y
_atom_site_fract_z
Nb1 Nb 0.000 0.000 0.000
Zn1 Zn 0.500 0.500 0.500
As1 As 0.000 0.000 0.500
```

Results
Calculated formation energy: 0.44 eV per atom



No. 5
The following is a GGA-PBEsol calculation of crystalline RbSn2Hg2 at its relaxed geometry, from Alexandria.

Structure (CIF):
```
data_RbSn2Hg2
_symmetry_space_group_name_H-M 'I 4/m m m'
_symmetry_Int_Tables_number 139
_symmetry_space_group_name_Hall '-I 4 2'
_cell_length_a 4.754
_cell_length_b 4.754
_cell_length_c 12.849
_cell_angle_alpha 90.00
_cell_angle_beta 90.00
_cell_angle_gamma 90.00
loop_
_atom_site_label
_atom_site_type_symbol
_atom_site_fract_x
_atom_site_fract_y
_atom_site_fract_z
Rb1 Rb 0.000 0.000 0.000
Sn1 Sn 0.000 0.500 0.250
Hg1 Hg 0.000 0.000 0.392
```

Results
Calculated formation energy: -0.18 eV per atom



No. 6
The following is a GGA-PBEsol calculation of crystalline CdTc2HRh at its relaxed geometry, from Alexandria.

Structure (CIF):
```
data_CdTc2HRh
_symmetry_space_group_name_H-M 'P 4/m m m'
_symmetry_Int_Tables_number 123
_symmetry_space_group_name_Hall '-P 4 2'
_cell_length_a 4.986
_cell_length_b 4.986
_cell_length_c 2.934
_cell_angle_alpha 90.00
_cell_angle_beta 90.00
_cell_angle_gamma 90.00
loop_
_atom_site_label
_atom_site_type_symbol
_atom_site_fract_x
_atom_site_fract_y
_atom_site_fract_z
Cd1 Cd 0.000 0.000 0.000
Tc1 Tc 0.000 0.500 0.000
H1 H 0.000 0.000 0.500
Rh1 Rh 0.500 0.500 0.500
```

Results
Raw total energy: -26.59 eV for the cell shown



No. 7
The following is a GGA-PBEsol calculation of crystalline BaAs2Rh at its relaxed geometry, from Alexandria.

Structure (CIF):
```
data_BaAs2Rh
_symmetry_space_group_name_H-M 'P 4 m m'
_symmetry_Int_Tables_number 99
_symmetry_space_group_name_Hall 'P 4 -2'
_cell_length_a 3.474
_cell_length_b 3.474
_cell_length_c 7.180
_cell_angle_alpha 90.00
_cell_angle_beta 90.00
_cell_angle_gamma 90.00
loop_
_atom_site_label
_atom_site_type_symbol
_atom_site_fract_x
_atom_site_fract_y
_atom_site_fract_z
Ba1 Ba 0.000 0.000 0.000
As1 As 0.000 0.000 0.465
As2 As 0.500 0.500 0.699
Rh1 Rh 0.500 0.500 0.358
```

Results
Calculated formation energy: -0.25 eV per atom



No. 8
The following is a GGA-PBEsol calculation of crystalline KScW2 at its relaxed geometry, from Alexandria.

Structure (CIF):
```
data_KScW2
_symmetry_space_group_name_H-M 'C m m m'
_symmetry_Int_Tables_number 65
_symmetry_space_group_name_Hall '-C 2 2'
_cell_length_a 5.376
_cell_length_b 10.508
_cell_length_c 2.689
_cell_angle_alpha 90.00
_cell_angle_beta 90.00
_cell_angle_gamma 90.00
loop_
_atom_site_label
_atom_site_type_symbol
_atom_site_fract_x
_atom_site_fract_y
_atom_site_fract_z
K1 K 0.000 0.000 0.000
Sc1 Sc 0.000 0.500 0.000
W1 W 0.250 0.250 0.500
```

Results
Calculated formation energy: 1.27 eV per atom
Distance to the lowest polymorph of the same formula: 544 meV per atom



No. 9
The following is a GGA-PBEsol calculation of crystalline ScCo3C at its relaxed geometry, from Alexandria.

Structure (CIF):
```
data_ScCo3C
_symmetry_space_group_name_H-M 'P m -3 m'
_symmetry_Int_Tables_number 221
_symmetry_space_group_name_Hall '-P 4 2 3'
_cell_length_a 3.761
_cell_length_b 3.761
_cell_length_c 3.761
_cell_angle_alpha 90.00
_cell_angle_beta 90.00
_cell_angle_gamma 90.00
loop_
_atom_site_label
_atom_site_type_symbol
_atom_site_fract_x
_atom_site_fract_y
_atom_site_fract_z
Sc1 Sc 0.000 0.000 0.000
Co1 Co 0.000 0.500 0.500
C1 C 0.500 0.500 0.500
```

Results
Calculated formation energy: -0.37 eV per atom
Distance to the lowest polymorph of the same formula: 0 meV per atom



No. 10
The following is a GGA-PBEsol calculation of crystalline In2AsBr at its relaxed geometry, from Alexandria.

Structure (CIF):
```
data_In2AsBr
_symmetry_space_group_name_H-M 'F m -3 m'
_symmetry_Int_Tables_number 225
_symmetry_space_group_name_Hall '-F 4 2 3'
_cell_length_a 7.231
_cell_length_b 7.231
_cell_length_c 7.231
_cell_angle_alpha 90.00
_cell_angle_beta 90.00
_cell_angle_gamma 90.00
loop_
_atom_site_label
_atom_site_type_symbol
_atom_site_fract_x
_atom_site_fract_y
_atom_site_fract_z
In1 In 0.250 0.250 0.250
As1 As 0.000 0.000 0.000
Br1 Br 0.000 0.000 0.500
```

Results
Raw formation energy: -0.124 eV per atom
Distance to the lowest polymorph of the same formula: 0 meV per atom



No. 11
The following is a GGA-PBEsol calculation of crystalline LaTc3Sn at its relaxed geometry, from Alexandria.

Structure (CIF):
```
data_LaTc3Sn
_symmetry_space_group_name_H-M 'P m -3 m'
_symmetry_Int_Tables_number 221
_symmetry_space_group_name_Hall '-P 4 2 3'
_cell_length_a 4.768
_cell_length_b 4.768
_cell_length_c 4.768
_cell_angle_alpha 90.00
_cell_angle_beta 90.00
_cell_angle_gamma 90.00
loop_
_atom_site_label
_atom_site_type_symbol
_atom_site_fract_x
_atom_site_fract_y
_atom_site_fract_z
La1 La 0.000 0.000 0.000
Tc1 Tc 0.000 0.000 0.500
Sn1 Sn 0.500 0.500 0.500
```

Results
Calculated formation energy: 2.06 eV per atom



No. 12
The following is a GGA-PBEsol calculation of crystalline Ca2TeF2 at its relaxed geometry, from Alexandria.

Structure (CIF):
```
data_Ca2TeF2
_symmetry_space_group_name_H-M 'I 4/m m m'
_symmetry_Int_Tables_number 139
_symmetry_space_group_name_Hall '-I 4 2'
_cell_length_a 3.924
_cell_length_b 3.924
_cell_length_c 12.369
_cell_angle_alpha 90.00
_cell_angle_beta 90.00
_cell_angle_gamma 90.00
loop_
_atom_site_label
_atom_site_type_symbol
_atom_site_fract_x
_atom_site_fract_y
_atom_site_fract_z
Ca1 Ca 0.000 0.000 0.148
Te1 Te 0.000 0.000 0.500
F1 F 0.000 0.500 0.250
```

Results
Raw formation energy: -3.014 eV per atom